No. 1
A relaxed structure of SrDyAuSeS2, computed with PBE.

Cell: 7.1343 7.1343 10.6054 Å, 90.00 90.00 147.14°
Positions (direct):
1 Sr 0.2335 0.7665 0.7500
2 Sr 0.7665 0.2335 0.2500
3 Dy 0.0000 0.0000 0.0000
4 Dy 0.0000 0.0000 0.5000
5 Au 0.4660 0.5340 0.2500
6 Au 0.5340 0.4660 0.7500
7 Se 0.0953 0.9047 0.2500
8 Se 0.9047 0.0953 0.7500
9 S 0.3646 0.6354 0.0564
10 S 0.3646 0.6354 0.4436
11 S 0.6354 0.3646 0.5564
12 S 0.6354 0.3646 0.9436

Calculated values
Calculated total energy (eV for the cell shown): -60.7
Spin magnetization (μB per formula unit): 0.00
Calculated density (kg/m³): 6691

=====

No. 2
A relaxed structure of SrDyAuSe2S, computed with PBE.

Cell: 7.1686 7.1686 10.4177 Å, 90.00 90.00 146.45°
Positions (direct):
1 Sr 0.2440 0.7560 0.7500
2 Sr 0.7560 0.2440 0.2500
3 Dy 0.5000 0.5000 0.0000
4 Dy 0.5000 0.5000 0.5000
5 Au 0.0280 0.9720 0.2500
6 Au 0.9720 0.0280 0.7500
7 Se 0.1454 0.8546 0.0529
8 Se 0.1454 0.8546 0.4471
9 Se 0.8546 0.1454 0.5529
10 Se 0.8546 0.1454 0.9471
11 S 0.4167 0.5833 0.2500
12 S 0.5833 0.4167 0.7500

Calculated values
Calculated total energy (eV for the cell shown): -59.3
Spin magnetization (μB per formula unit): 0.00
Calculated density (kg/m³): 7152

=====

No. 3
A relaxed structure of SrDyAuS3, computed with PBE.

Cell: 7.8043 3.9947 9.4431 Å, 90.00 105.82 90.00°
Positions (direct):
1 Sr 0.2380 0.2500 0.2741
2 Sr 0.7620 0.7500 0.7259
3 Dy 0.3131 0.7500 0.8376
4 Dy 0.6869 0.2500 0.1624
5 Au 0.1232 0.2500 0.5857
6 Au 0.8768 0.7500 0.4143
7 S 0.0692 0.2500 0.8392
8 S 0.3015 0.7500 0.5374
9 S 0.4323 0.7500 0.1378
10 S 0.5677 0.2500 0.8622
11 S 0.6985 0.2500 0.4626
12 S 0.9308 0.7500 0.1608

Calculated values
Calculated total energy (eV for the cell shown): -62.5
Spin magnetization (μB per formula unit): 0.00
Calculated density (kg/m³): 6370

=====

No. 4
A relaxed structure of SrDyAuS3, computed with PBE.

Cell: 12.2576 4.0476 11.1109 Å, 90.00 90.00 90.00°
Positions (direct):
1 Sr 0.1839 0.2500 0.0249
2 Sr 0.3161 0.7500 0.5249
3 Sr 0.6839 0.2500 0.4751
4 Sr 0.8161 0.7500 0.9751
5 Dy 0.0052 0.7500 0.6695
6 Dy 0.4948 0.2500 0.1695
7 Dy 0.5052 0.7500 0.8305
8 Dy 0.9948 0.2500 0.3305
9 Au 0.2047 0.7500 0.2661
10 Au 0.2953 0.2500 0.7661
11 Au 0.7047 0.7500 0.2339
12 Au 0.7953 0.2500 0.7339
13 S 0.0349 0.7500 0.1573
14 S 0.1131 0.2500 0.5474
15 S 0.1906 0.7500 0.8185
16 S 0.3094 0.2500 0.3185
17 S 0.3869 0.7500 0.0474
18 S 0.4651 0.2500 0.6573
19 S 0.5349 0.7500 0.3427
20 S 0.6131 0.2500 0.9526
21 S 0.6906 0.7500 0.6815
22 S 0.8094 0.2500 0.1815
23 S 0.8869 0.7500 0.4526
24 S 0.9651 0.2500 0.8427

Calculated values
Calculated total energy (eV for the cell shown): -123.9
Spin magnetization (μB per formula unit): 0.00
Calculated density (kg/m³): 6546

=====

No. 5
A relaxed structure of SrDyTeAuS2, computed with PBE.

Cell: 7.5440 7.5440 10.9864 Å, 90.00 90.00 148.78°
Positions (direct):
1 Sr 0.2056 0.7944 0.7500
2 Sr 0.7944 0.2056 0.2500
3 Dy 0.0000 0.0000 0.0000
4 Dy 0.0000 0.0000 0.5000
5 Te 0.1116 0.8884 0.2500
6 Te 0.8884 0.1116 0.7500
7 Au 0.4812 0.5188 0.2500
8 Au 0.5188 0.4812 0.7500
9 S 0.3775 0.6225 0.0669
10 S 0.3775 0.6225 0.4331
11 S 0.6225 0.3775 0.5669
12 S 0.6225 0.3775 0.9331

Calculated values
Calculated total energy (eV for the cell shown): -58.7
Spin magnetization (μB per formula unit): 0.00
Calculated density (kg/m³): 6546

=====

No. 6
A relaxed structure of Dy5SbAu2, computed with PBE.

Cell: 9.9575 9.9575 9.9575 Å, 136.33 136.33 63.47°
Positions (direct):
1 Dy 0.0000 0.0000 0.0000
2 Dy 0.0041 0.5041 0.1737
3 Dy 0.1696 0.9959 0.5000
4 Dy 0.3304 0.8304 0.8263
5 Dy 0.4959 0.6696 0.5000
6 Dy 0.5000 0.5000 0.0000
7 Dy 0.5041 0.3304 0.5000
8 Dy 0.6696 0.1696 0.1737
9 Dy 0.8304 0.0041 0.5000
10 Dy 0.9959 0.4959 0.8263
11 Sb 0.2500 0.2500 0.0000
12 Sb 0.7500 0.7500 0.0000
13 Au 0.1273 0.6273 0.7547
14 Au 0.3727 0.1273 0.5000
15 Au 0.6273 0.8727 0.5000
16 Au 0.8727 0.3727 0.2453

Calculated values
Calculated total energy (eV for the cell shown): -73.9
Spin magnetization (μB per formula unit): 0.00
Calculated density (kg/m³): 9493

=====

No. 7
A relaxed structure of Dy3Sb4Au3, computed with PBE.

Cell: 8.5703 8.5703 8.5703 Å, 109.47 109.47 109.47°
Positions (direct):
1 Dy 0.1250 0.8750 0.2500
2 Dy 0.2500 0.1250 0.8750
3 Dy 0.3750 0.6250 0.7500
4 Dy 0.6250 0.7500 0.3750
5 Dy 0.7500 0.3750 0.6250
6 Dy 0.8750 0.2500 0.1250
7 Sb 0.0000 0.1796 0.5000
8 Sb 0.0000 0.6796 0.5000
9 Sb 0.1796 0.5000 0.0000
10 Sb 0.3204 0.3204 0.3204
11 Sb 0.5000 0.0000 0.1796
12 Sb 0.5000 0.0000 0.6796
13 Sb 0.6796 0.5000 0.0000
14 Sb 0.8204 0.8204 0.8204
15 Au 0.1250 0.7500 0.8750
16 Au 0.2500 0.6250 0.3750
17 Au 0.3750 0.2500 0.6250
18 Au 0.6250 0.3750 0.2500
19 Au 0.7500 0.8750 0.1250
20 Au 0.8750 0.1250 0.7500

Calculated values
Calculated total energy (eV for the cell shown): -96.6
Spin magnetization (μB per formula unit): 0.00
Calculated density (kg/m³): 10729

=====

No. 8
A relaxed structure of DyScAu6, computed with PBE.

Cell: 4.9644 6.0848 5.0876 Å, 90.00 90.00 90.00°
Positions (direct):
1 Dy 0.0000 0.0000 0.0000
2 Sc 0.5000 0.5000 0.3128
3 Au 0.0000 0.2617 0.4960
4 Au 0.0000 0.5000 0.0033
5 Au 0.0000 0.7383 0.4960
6 Au 0.5000 0.0000 0.3299
7 Au 0.5000 0.2552 0.8221
8 Au 0.5000 0.7448 0.8221

Calculated values
Spin magnetization (μB per formula unit): 0.00
Formation energy from the elements (eV/atom): -0.681
Calculated density (kg/m³): 15011